No. 1
Ce2MnPt9, optimized geometry, DFT PBE; energy of formation = -73.3 kJ/mol of atoms; energy relative to the lowest polymorph listed for this composition = 0.00 eV/f.u.
1.0
-2.234 3.241 1.190
-1.972 -2.361 2.729
8.407 2.706 8.416
Pt Ce Mn
9 2 1
Direct
0.000 0.500 0.156 Pt
0.000 0.500 0.500 Pt
0.500 0.500 0.328 Pt
0.500 0.000 0.500 Pt
0.500 0.500 0.000 Pt
0.500 0.000 0.156 Pt
0.000 0.500 0.844 Pt
0.500 0.000 0.844 Pt
0.500 0.500 0.672 Pt
0.000 0.000 0.675 Ce
0.000 0.000 0.325 Ce
0.000 0.000 0.000 Mn

=====

No. 2
N, optimized geometry, DFT PBE; uncorrected formation energy = 0.0012 eV/atom; energy relative to the lowest polymorph listed for this composition = 0.00 eV/f.u.
1.0
-3.653 -1.299 -0.966
-0.745 -0.776 3.840
-3.249 1.791 1.689
N
2
Direct
0.093 0.097 0.817 N
0.907 0.903 0.183 N

=====

No. 3
TaMn2CrC, optimized geometry, DFT PBE; energy of formation = -9.1 kJ/mol of atoms
1.0
3.829 0.000 0.000
0.000 3.829 0.000
0.000 0.000 3.934
Cr C Ta Mn
1 1 1 2
Direct
0.000 0.000 0.500 Cr
0.000 0.000 0.000 C
0.500 0.500 0.500 Ta
0.500 0.000 0.000 Mn
0.000 0.500 0.000 Mn